Entry 1:
LaTiGePb2 after structural relaxation, computed with PBE.

Cell lengths 5.558, 5.558, 4.899 Å; angles 90.00, 90.00, 90.00 degrees
Atoms (fractional coordinates):
La  0.000  0.000  0.000
Ti  0.500  0.500  0.000
Ge  0.500  0.500  0.500
Pb  0.000  0.500  0.500
Pb  0.500  0.000  0.500

Values from the calculation:
E_tot ... -4.7544 eV per atom
ΔH_f (0 K) ... 20.92 kJ per mole of atoms
Total moment ... 1.68 μB per cell
N(E_F) ... 1.075 states/eV/atom

Entry 2:
La2GePbW after structural relaxation, computed with PBE.

Cell lengths 5.483, 5.483, 5.338 Å; angles 90.00, 90.00, 90.00 degrees
Atoms (fractional coordinates):
La  0.000  0.500  0.000
La  0.500  0.000  0.000
Ge  0.000  0.000  0.500
Pb  0.500  0.500  0.500
W  0.500  0.500  0.000

Values from the calculation:
E_tot ... -5.8306 eV per atom
ΔH_f (0 K) ... 38.22 kJ per mole of atoms
Total moment ... 1.17 μB per cell
N(E_F) ... 1.055 states/eV/atom

Entry 3:
LaGe3Pd10 after structural relaxation, computed with PBE.

Cell lengths 8.865, 8.865, 8.865 Å; angles 60.00, 60.00, 60.00 degrees
Atoms (fractional coordinates):
La  0.250  0.250  0.250
La  0.750  0.750  0.750
Ge  0.236  0.236  0.764
Ge  0.236  0.764  0.236
Ge  0.236  0.764  0.764
Ge  0.764  0.236  0.236
Ge  0.764  0.236  0.764
Ge  0.764  0.764  0.236
Pd  0.116  0.116  0.116
Pd  0.116  0.116  0.652
Pd  0.116  0.652  0.116
Pd  0.152  0.500  0.500
Pd  0.152  0.500  0.848
Pd  0.152  0.848  0.500
Pd  0.348  0.884  0.884
Pd  0.500  0.152  0.500
Pd  0.500  0.152  0.848
Pd  0.500  0.500  0.152
Pd  0.500  0.500  0.848
Pd  0.500  0.848  0.152
Pd  0.500  0.848  0.500
Pd  0.652  0.116  0.116
Pd  0.848  0.152  0.500
Pd  0.848  0.500  0.152
Pd  0.848  0.500  0.500
Pd  0.884  0.348  0.884
Pd  0.884  0.884  0.348
Pd  0.884  0.884  0.884

Values from the calculation:
E_tot ... -5.5991 eV per atom
ΔH_f (0 K) ... -52.92 kJ per mole of atoms
Total moment ... 0.00 μB per cell
N(E_F) ... 0.576 states/eV/atom

Entry 4:
La3Ge4Pd after structural relaxation, computed with PBE.

Cell lengths 4.627, 6.029, 15.185 Å; angles 90.00, 90.00, 90.00 degrees
Atoms (fractional coordinates):
La  0.000  0.000  0.000
La  0.000  0.500  0.192
La  0.000  0.500  0.808
La  0.500  0.000  0.308
La  0.500  0.000  0.692
La  0.500  0.500  0.500
Ge  0.000  0.288  0.380
Ge  0.000  0.288  0.620
Ge  0.000  0.712  0.380
Ge  0.000  0.712  0.620
Ge  0.500  0.212  0.120
Ge  0.500  0.212  0.880
Ge  0.500  0.788  0.120
Ge  0.500  0.788  0.880
Pd  0.000  0.000  0.500
Pd  0.500  0.500  0.000

Values from the calculation:
E_tot ... -5.5387 eV per atom
ΔH_f (0 K) ... -70.73 kJ per mole of atoms
Total moment ... 0.00 μB per cell
N(E_F) ... 0.647 states/eV/atom

Entry 5:
La2Ge3Pd6 after structural relaxation, computed with PBE.

Cell lengths 7.487, 7.487, 4.465 Å; angles 90.00, 90.00, 120.00 degrees
Atoms (fractional coordinates):
La  0.333  0.667  0.000
La  0.667  0.333  0.000
Ge  0.000  0.632  0.500
Ge  0.368  0.368  0.500
Ge  0.632  0.000  0.500
Pd  0.000  0.298  0.500
Pd  0.000  0.788  0.000
Pd  0.212  0.212  0.000
Pd  0.298  0.000  0.500
Pd  0.702  0.702  0.500
Pd  0.788  0.000  0.000

Values from the calculation:
E_tot ... -5.7498 eV per atom
ΔH_f (0 K) ... -73.54 kJ per mole of atoms
Total moment ... 0.00 μB per cell
N(E_F) ... 0.765 states/eV/atom

Entry 6:
LaGe2Pd4 after structural relaxation, computed with PBE.

Cell lengths 17.578, 4.296, 6.814 Å; angles 90.00, 90.00, 90.00 degrees
Atoms (fractional coordinates):
La  0.139  0.250  0.013
La  0.361  0.750  0.513
La  0.639  0.250  0.487
La  0.861  0.750  0.987
Ge  0.042  0.750  0.269
Ge  0.214  0.250  0.545
Ge  0.286  0.750  0.045
Ge  0.458  0.250  0.769
Ge  0.542  0.750  0.231
Ge  0.714  0.250  0.955
Ge  0.786  0.750  0.455
Ge  0.958  0.250  0.731
Pd  0.025  0.750  0.857
Pd  0.070  0.250  0.500
Pd  0.186  0.750  0.333
Pd  0.205  0.750  0.743
Pd  0.295  0.250  0.243
Pd  0.314  0.250  0.833
Pd  0.430  0.750  0.000
Pd  0.475  0.250  0.357
Pd  0.525  0.750  0.643
Pd  0.570  0.250  0.000
Pd  0.686  0.750  0.167
Pd  0.705  0.750  0.757
Pd  0.795  0.250  0.257
Pd  0.814  0.250  0.667
Pd  0.930  0.750  0.500
Pd  0.975  0.250  0.143

Values from the calculation:
E_tot ... -5.6724 eV per atom
ΔH_f (0 K) ... -65.80 kJ per mole of atoms
E above lowest polymorph ... 0 meV per atom
Total moment ... 0.00 μB per cell
N(E_F) ... 0.406 states/eV/atom

Entry 7:
La3Ge4Pd2 after structural relaxation, computed with PBE.

Cell lengths 6.123, 6.123, 8.618 Å; angles 101.52, 101.52, 41.90 degrees
Atoms (fractional coordinates):
La  0.000  0.000  0.000
La  0.334  0.334  0.337
La  0.666  0.666  0.663
Ge  0.053  0.053  0.386
Ge  0.273  0.273  0.932
Ge  0.727  0.727  0.068
Ge  0.947  0.947  0.614
Pd  0.395  0.395  0.723
Pd  0.605  0.605  0.277

Values from the calculation:
E_tot ... -5.7661 eV per atom
ΔH_f (0 K) ... -88.53 kJ per mole of atoms
Total moment ... 0.00 μB per cell
N(E_F) ... 0.621 states/eV/atom

Entry 8:
La3Ge4Pd4 after structural relaxation, computed with PBE.

Cell lengths 4.221, 4.423, 13.076 Å; angles 99.73, 99.28, 90.02 degrees
Atoms (fractional coordinates):
La  0.000  0.000  0.000
La  0.148  0.648  0.296
La  0.852  0.352  0.704
Ge  0.304  0.804  0.608
Ge  0.450  0.451  0.901
Ge  0.550  0.549  0.099
Ge  0.696  0.196  0.392
Pd  0.250  0.250  0.501
Pd  0.403  0.904  0.806
Pd  0.597  0.096  0.194
Pd  0.750  0.750  0.499

Values from the calculation:
E_tot ... -5.8297 eV per atom
ΔH_f (0 K) ... -88.62 kJ per mole of atoms
Total moment ... 0.00 μB per cell
N(E_F) ... 0.626 states/eV/atom

Entry 9:
LaGe6Pd12 after structural relaxation, computed with PBE.

Cell lengths 7.244, 7.244, 7.244 Å; angles 105.46, 105.46, 105.46 degrees
Atoms (fractional coordinates):
La  0.000  0.000  0.000
Ge  0.253  0.253  0.694
Ge  0.253  0.694  0.253
Ge  0.306  0.747  0.747
Ge  0.694  0.253  0.253
Ge  0.747  0.306  0.747
Ge  0.747  0.747  0.306
Pd  0.123  0.500  0.877
Pd  0.123  0.877  0.500
Pd  0.168  0.425  0.425
Pd  0.425  0.168  0.425
Pd  0.425  0.425  0.168
Pd  0.500  0.123  0.877
Pd  0.500  0.877  0.123
Pd  0.575  0.575  0.832
Pd  0.575  0.832  0.575
Pd  0.832  0.575  0.575
Pd  0.877  0.123  0.500
Pd  0.877  0.500  0.123

Values from the calculation:
E_tot ... -5.5202 eV per atom
ΔH_f (0 K) ... -50.47 kJ per mole of atoms
Total moment ... 0.00 μB per cell
N(E_F) ... 0.504 states/eV/atom

Entry 10:
La2GePd5 after structural relaxation, computed with PBE.

Cell lengths 6.187, 6.187, 8.562 Å; angles 90.00, 90.00, 90.00 degrees
Atoms (fractional coordinates):
La  0.000  0.500  0.000
La  0.000  0.500  0.500
La  0.500  0.000  0.000
La  0.500  0.000  0.500
Ge  0.000  0.000  0.322
Ge  0.500  0.500  0.822
Pd  0.000  0.000  0.005
Pd  0.224  0.224  0.745
Pd  0.224  0.776  0.745
Pd  0.276  0.276  0.245
Pd  0.276  0.724  0.245
Pd  0.500  0.500  0.505
Pd  0.724  0.276  0.245
Pd  0.724  0.724  0.245
Pd  0.776  0.224  0.745
Pd  0.776  0.776  0.745

Values from the calculation:
E_tot ... -5.8319 eV per atom
ΔH_f (0 K) ... -75.00 kJ per mole of atoms
Total moment ... 0.00 μB per cell
N(E_F) ... 0.495 states/eV/atom

Entry 11:
La2Ge2Pd5 after structural relaxation, computed with PBE.

Cell lengths 4.402, 4.402, 9.036 Å; angles 90.00, 90.00, 90.00 degrees
Atoms (fractional coordinates):
La  0.000  0.000  0.000
La  0.000  0.000  0.500
Ge  0.500  0.500  0.141
Ge  0.500  0.500  0.859
Pd  0.000  0.500  0.274
Pd  0.000  0.500  0.726
Pd  0.500  0.000  0.274
Pd  0.500  0.000  0.726
Pd  0.500  0.500  0.500

Values from the calculation:
E_tot ... -5.8325 eV per atom
ΔH_f (0 K) ... -79.75 kJ per mole of atoms
Total moment ... 0.00 μB per cell
N(E_F) ... 0.404 states/eV/atom

Entry 12:
La3Ge6Pd20 after structural relaxation, computed with PBE.

Cell lengths 8.933, 8.933, 8.933 Å; angles 60.00, 60.00, 60.00 degrees
Atoms (fractional coordinates):
La  0.000  0.000  0.000
La  0.250  0.250  0.250
La  0.750  0.750  0.750
Ge  0.268  0.268  0.732
Ge  0.268  0.732  0.268
Ge  0.268  0.732  0.732
Ge  0.732  0.268  0.268
Ge  0.732  0.268  0.732
Ge  0.732  0.732  0.268
Pd  0.000  0.000  0.349
Pd  0.000  0.000  0.651
Pd  0.000  0.349  0.000
Pd  0.000  0.349  0.651
Pd  0.000  0.651  0.000
Pd  0.000  0.651  0.349
Pd  0.150  0.617  0.617
Pd  0.349  0.000  0.000
Pd  0.349  0.000  0.651
Pd  0.349  0.651  0.000
Pd  0.383  0.383  0.383
Pd  0.383  0.383  0.850
Pd  0.383  0.850  0.383
Pd  0.617  0.150  0.617
Pd  0.617  0.617  0.150
Pd  0.617  0.617  0.617
Pd  0.651  0.000  0.000
Pd  0.651  0.000  0.349
Pd  0.651  0.349  0.000
Pd  0.850  0.383  0.383

Values from the calculation:
E_tot ... -5.7154 eV per atom
ΔH_f (0 K) ... -64.56 kJ per mole of atoms
Total moment ... 0.00 μB per cell
N(E_F) ... 0.291 states/eV/atom